# Na2CdAg5Pd2, optimized geometry, DFT PBE-GGA
data_Na2CdAg5Pd2
_cell_length_a 9.511
_cell_length_b 9.511
_cell_length_c 4.363
_cell_angle_alpha 90.00
_cell_angle_beta 90.00
_cell_angle_gamma 90.00
_space_group_name_H-M_alt 'P 4/m b m'
_space_group_IT_number 127
_space_group_name_Hall '-P 4 2ab'
loop_
_atom_site_label
_atom_site_fract_x
_atom_site_fract_y
_atom_site_fract_z
_atom_site_occupancy
Na1 0.172 0.328 0.000 1
Cd1 0.000 0.000 0.000 1
Ag1 0.000 0.500 0.500 1
Ag2 0.071 0.798 0.500 1
Pd1 0.124 0.624 0.000 1
# electronic total energy = -2.88 eV/atom
# total moment = 0.000 μB/atom
# formation energy from the elements = -0.58 eV/f.u.